Material: PuIn2Br3F3
Method: DFT, PBE
State: relaxed

Lattice parameters (Å, degrees): 3.709 8.130 8.130 120.00 90.00 90.00
Site moments in Bohr magnetons follow the coordinates.
Sites, in units of the cell vectors:
Pu (0.000, 0.000, 0.000)  4.76
In (0.500, 0.333, 0.667)  -0.01
In (0.500, 0.667, 0.333)  -0.01
Br (0.000, 0.000, 0.399)  -0.02
Br (0.000, 0.601, 0.601)  -0.02
Br (0.000, 0.399, 0.000)  -0.02
F (0.500, 0.816, 0.000)  -0.02
F (0.500, 0.184, 0.184)  -0.02
F (0.500, 0.000, 0.816)  -0.02

Raw total energy (eV per cell): -46.99
Crystal system: hexagonal

=====

Material: LaMg2InHg4
Method: DFT, PBE
State: relaxed

Lattice parameters (Å, degrees): 4.939 4.939 9.877 75.52 75.52 60.00
Sites, in units of the cell vectors:
La (0.000, 0.000, 0.000)
Mg (0.756, 0.756, 0.732)
Mg (0.244, 0.244, 0.268)
In (0.500, 0.500, 0.500)
Hg (0.387, 0.387, 0.838)
Hg (0.879, 0.879, 0.363)
Hg (0.121, 0.121, 0.637)
Hg (0.613, 0.613, 0.162)

Calculated formation energy (eV per atom): -0.291
Raw total energy (eV per cell): -14.39
Crystal system: trigonal

=====

Material: NbMo3N
Method: DFT, PBE
State: relaxed

Lattice parameters (Å, degrees): 4.169 4.169 4.169 90.00 90.00 90.00
Sites, in units of the cell vectors:
Mo (0.000, 0.500, 0.000)
Mo (0.000, 0.000, 0.500)
Mo (0.500, 0.000, 0.000)
Nb (0.500, 0.500, 0.500)
N (0.000, 0.000, 0.000)

Polymorph energy (0 for the lowest one) (meV per atom): 0.0
Raw total energy (eV per cell): -51.53
Crystal system: cubic

=====

Material: Ho2Bi2O
Method: DFT, PBE
State: relaxed

Lattice parameters (Å, degrees): 4.063 7.042 9.678 88.34 77.88 73.23
Sites, in units of the cell vectors:
Ho (0.118, 0.186, 0.577)
Ho (0.660, 0.875, 0.805)
Ho (0.882, 0.814, 0.423)
Ho (0.340, 0.125, 0.195)
Bi (0.612, 0.442, 0.335)
Bi (0.927, 0.214, 0.932)
Bi (0.388, 0.558, 0.665)
Bi (0.073, 0.786, 0.068)
O (0.682, 0.031, 0.606)
O (0.318, 0.969, 0.394)

Raw total energy (eV per cell): -59.91
Crystal system: monoclinic

=====

Material: RbAlSe2
Method: DFT, PBE
State: relaxed

Lattice parameters (Å, degrees): 11.248 11.248 5.219 90.00 90.00 154.23
Sites, in units of the cell vectors:
Se (0.167, 0.833, 0.250)
Se (0.833, 0.167, 0.750)
Se (0.954, 0.046, 0.250)
Se (0.046, 0.954, 0.750)
Rb (0.329, 0.671, 0.250)
Rb (0.671, 0.329, 0.750)
Al (0.063, 0.937, 0.250)
Al (0.937, 0.063, 0.750)

Raw total energy (eV per cell): -30.08
Crystal system: orthorhombic

=====

Material: CaPd3Pt
Method: DFT, PBE
State: relaxed

Lattice parameters (Å, degrees): 4.945 7.269 7.269 121.23 90.00 90.00
Sites, in units of the cell vectors:
Ca (0.750, 0.602, 0.398)
Ca (0.250, 0.398, 0.602)
Pd (0.750, 0.396, 0.962)
Pd (0.750, 0.038, 0.604)
Pd (0.250, 0.962, 0.396)
Pd (0.250, 0.604, 0.038)
Pd (0.000, 0.000, 0.000)
Pd (0.500, 0.000, 0.000)
Pt (0.750, 0.821, 0.179)
Pt (0.250, 0.179, 0.821)

Calculated formation energy (eV per atom): 0.028
Polymorph energy (0 for the lowest one) (meV per atom): 420.5
Raw total energy (eV per cell): -46.97
Crystal system: orthorhombic